Entry from Alexandria via LeMat-Bulk: a geometry-optimized CaFe2I structure (PBE-GGA).

```
4
Lattice="0.0000 3.3268 3.3268 3.3268 0.0000 3.3268 3.3268 3.3268 0.0000" Properties=species:S:1:pos:R:3 pbc="T T T"
Ca 0.0000 0.0000 0.0000
Fe 1.6634 1.6634 1.6634
Fe 4.9902 4.9902 4.9902
I 3.3268 3.3268 3.3268
```

Output
**Crystal system**: cubic
**Energy above the lowest structure with this stoichiometry**: 100.1 meV per atom
**Formation energy (no corrections)**: 0.83 eV per atom
**N(E_F)**: 10.29 states/eV/cell

***

Entry from Alexandria via LeMat-Bulk: a geometry-optimized Ca2ZrCl structure (PBE-GGA).

```
4
Lattice="6.2368 -1.7300 0.0000 6.2368 1.7300 0.0000 -3.3987 0.0000 5.5684" Properties=species:S:1:pos:R:3 pbc="T T T"
Ca 1.8703 0.0000 1.1491
Ca 7.2046 0.0000 4.4192
Zr -1.6993 0.0000 2.7842
Cl 6.2368 0.0000 0.0000
```

Output
**Crystal system**: monoclinic
**Energy above the lowest structure with this stoichiometry**: 437.1 meV per atom
**Formation energy (no corrections)**: -0.19 eV per atom
**N(E_F)**: 3.81 states/eV/cell

***

Entry from Alexandria via LeMat-Bulk: a geometry-optimized PuUGa2 structure (PBE-GGA).

```
4
Lattice="2.8847 0.0000 0.0000 0.0000 4.4565 0.0000 0.0000 0.0000 6.4741" Properties=species:S:1:pos:R:3 pbc="T T T"
Pu 0.0000 0.0000 0.0000
U 0.0000 0.0000 3.2371
Ga 1.4423 2.2283 1.6218
Ga 1.4423 2.2283 4.8523
```

Output
**Crystal system**: orthorhombic
**Energy of formation from the pure elements**: -186 meV per atom
**Energy above the lowest structure with this stoichiometry**: 12.4 meV per atom
**N(E_F)**: 9.60 states/eV/cell

***

Entry from Alexandria via LeMat-Bulk: a geometry-optimized Pr3AgAu4 structure (PBE-GGA).

```
8
Lattice="-2.0541 3.6124 7.2448 2.0541 -3.6124 7.2448 2.0541 3.6124 -7.2448" Properties=species:S:1:pos:R:3 pbc="T T T"
Pr 0.0000 0.0000 0.0000
Pr 2.0541 0.0000 4.5820
Pr 0.0000 3.6124 2.6628
Ag 0.0000 0.0000 7.2448
Au 2.0541 1.4346 -1.8692
Au 2.0541 1.4346 1.8692
Au 0.0000 2.1778 5.3756
Au 0.0000 2.1778 9.1140
```

Output
**Crystal system**: orthorhombic
**Energy of formation from the pure elements**: -587 meV per atom
**N(E_F)**: 5.19 states/eV/cell

***

no.,spin magnetization (Bohr magnetons per cell)
1,3.9
2,2.0
3,2.8
4,0.0